1.
Below is an optimized crystal structure of NiSnCl2, with properties calculated at the PBE level.

For the energy above the lowest structure with this stoichiometry, the calculation gives 0.0 meV/atom.

The structure belongs to space group I-42d (No. 122); the cell edges are 6.403, 6.403 and 9.651 Å and the angles 90.00°, 90.00° and 90.00°. The distinct sites, in fractional coordinates, are Ni at (0.000, 0.000, 0.000), Sn at (0.000, 0.000, 0.500) and Cl at (0.161, 0.250, 0.125).

2.
Below is an optimized crystal structure of NiSnCl2, with properties calculated at the PBE level.

For the energy above the lowest structure with this stoichiometry, the calculation gives 209.7 meV/atom.

The structure belongs to space group Fm-3m (No. 225); the cell edges are 6.873, 6.873 and 6.873 Å and the angles 90.00°, 90.00° and 90.00°. The distinct sites, in fractional coordinates, are Ni at (0.000, 0.000, 0.000), Sn at (0.000, 0.000, 0.500) and Cl at (0.250, 0.250, 0.250).

3.
Below is an optimized crystal structure of Ni2SnCl, with properties calculated at the PBE level.

For the energy above the lowest structure with this stoichiometry, the calculation gives 166.9 meV/atom.

The structure belongs to space group Fm-3m (No. 225); the cell edges are 6.352, 6.352 and 6.352 Å and the angles 90.00°, 90.00° and 90.00°. The distinct sites, in fractional coordinates, are Ni at (0.250, 0.250, 0.250), Sn at (0.000, 0.000, 0.000) and Cl at (0.000, 0.000, 0.500).

4.
Below is an optimized crystal structure of NiSnTeCl2, with properties calculated at the PBE level.

The total energy comes out at -3.6458 eV/atom.

The structure belongs to space group P4/mmm (No. 123); the cell edges are 4.635, 4.635 and 5.407 Å and the angles 90.00°, 90.00° and 90.00°. The distinct sites, in fractional coordinates, are Ni at (0.000, 0.000, 0.000), Sn at (0.500, 0.500, 0.500), Te at (0.000, 0.000, 0.500) and Cl at (0.000, 0.500, 0.000).